A plane-wave DFT calculation with PBE was carried out for crystalline NdErTlAu at its relaxed geometry.

Structure (CIF):
```
data_NdErTlAu
_symmetry_space_group_name_H-M 'F -4 3 m'
_symmetry_Int_Tables_number 216
_symmetry_space_group_name_Hall 'F -4 2 3'
_cell_length_a 7.5071
_cell_length_b 7.5071
_cell_length_c 7.5071
_cell_angle_alpha 90.00
_cell_angle_beta 90.00
_cell_angle_gamma 90.00
loop_
_atom_site_label
_atom_site_type_symbol
_atom_site_fract_x
_atom_site_fract_y
_atom_site_fract_z
_atom_site_occupancy
Nd1 Nd 0.0000 0.0000 0.0000 1
Er1 Er 0.0000 0.0000 0.5000 1
Tl1 Tl 0.2500 0.2500 0.7500 1
Au1 Au 0.2500 0.2500 0.2500 1
```

Output
ΔE_f, kJ/mol of atoms: -52
ΔE to the lowest computed polymorph, meV per atom: 69